# 1
! PBE Ca2Zn5Ge3, relaxed; values from VASP
! symmetry = P-4m2, No. 115
! ΔH_f (0 K) = -0.242 eV/atom
! crystal system = tetragonal
&SYSTEM
  ibrav = 0, nat = 10, ntyp = 3
/
ATOMIC_SPECIES
Ca 40.08 Ca.upf
Zn 65.41 Zn.upf
Ge 72.64 Ge.upf
CELL_PARAMETERS angstrom
4.254 0.000 0.000
0.000 4.254 0.000
0.000 0.000 11.027
ATOMIC_POSITIONS crystal
Ca 0.000 0.500 0.243
Ca 0.500 0.000 0.757
Zn 0.000 0.000 0.000
Zn 0.000 0.000 0.500
Zn 0.000 0.500 0.868
Zn 0.500 0.000 0.132
Zn 0.500 0.500 0.000
Ge 0.000 0.500 0.641
Ge 0.500 0.000 0.359
Ge 0.500 0.500 0.500

=====

# 2
! PBE RbGaSn, relaxed; values from VASP
! symmetry = P3m1, No. 156
! ΔH_f (0 K) = -0.200 eV/atom
! crystal system = trigonal
&SYSTEM
  ibrav = 0, nat = 3, ntyp = 3
/
ATOMIC_SPECIES
Rb 85.47 Rb.upf
Ga 69.72 Ga.upf
Sn 118.71 Sn.upf
CELL_PARAMETERS angstrom
4.635 0.000 0.000
-2.317 4.014 0.000
0.000 0.000 5.923
ATOMIC_POSITIONS crystal
Rb 0.000 0.000 0.000
Ga 0.667 0.333 0.499
Sn 0.333 0.667 0.501

=====

# 3
! PBE Ti3N2, relaxed; values from VASP
! raw formation energy = -1.46 eV/atom
! symmetry = R-3c, No. 167
! crystal system = trigonal
&SYSTEM
  ibrav = 0, nat = 10, ntyp = 2
/
ATOMIC_SPECIES
Ti 47.87 Ti.upf
N 14.01 N.upf
CELL_PARAMETERS angstrom
2.598 1.500 4.826
-2.598 1.500 4.826
0.000 -2.999 4.826
ATOMIC_POSITIONS crystal
Ti 0.073 0.750 0.427
Ti 0.250 0.573 0.927
Ti 0.427 0.073 0.750
Ti 0.573 0.927 0.250
Ti 0.750 0.427 0.073
Ti 0.927 0.250 0.573
N 0.159 0.159 0.159
N 0.341 0.341 0.341
N 0.659 0.659 0.659
N 0.841 0.841 0.841

=====

# 4
! PBE K2InMoI, relaxed; values from VASP
! raw formation energy = 0.48 eV/atom
! symmetry = P4/mmm, No. 123
! ΔE to the lowest computed polymorph = 0 meV/atom
! crystal system = tetragonal
&SYSTEM
  ibrav = 0, nat = 5, ntyp = 4
/
ATOMIC_SPECIES
K 39.10 K.upf
In 114.82 In.upf
Mo 95.94 Mo.upf
I 126.90 I.upf
CELL_PARAMETERS angstrom
6.818 0.000 0.000
0.000 6.818 0.000
0.000 0.000 5.391
ATOMIC_POSITIONS crystal
K 0.000 0.500 0.000
K 0.500 0.000 0.000
In 0.000 0.000 0.000
Mo 0.000 0.000 0.500
I 0.500 0.500 0.500

=====

# 5
! PBE La3YBi, relaxed; values from VASP
! symmetry = Pm-3m, No. 221
! ΔE to the lowest computed polymorph = 204 meV/atom
! ΔH_f (0 K) = 0.375 eV/atom
! crystal system = cubic
&SYSTEM
  ibrav = 0, nat = 5, ntyp = 3
/
ATOMIC_SPECIES
La 138.91 La.upf
Y 88.91 Y.upf
Bi 208.98 Bi.upf
CELL_PARAMETERS angstrom
5.742 0.000 0.000
0.000 5.742 0.000
0.000 0.000 5.742
ATOMIC_POSITIONS crystal
La 0.000 0.000 0.500
La 0.000 0.500 0.000
La 0.500 0.000 0.000
Y 0.000 0.000 0.000
Bi 0.500 0.500 0.500

=====

# 6
! PBE La2MgBPt6, relaxed; values from VASP
! symmetry = R-3m, No. 166
! ΔH_f (0 K) = -0.892 eV/atom
! crystal system = trigonal
&SYSTEM
  ibrav = 0, nat = 10, ntyp = 4
/
ATOMIC_SPECIES
La 138.91 La.upf
Mg 24.30 Mg.upf
B 10.81 B.upf
Pt 195.08 Pt.upf
CELL_PARAMETERS angstrom
2.884 1.665 6.685
-2.884 1.665 6.685
0.000 -3.331 6.685
ATOMIC_POSITIONS crystal
La 0.219 0.219 0.219
La 0.781 0.781 0.781
Mg 0.500 0.500 0.500
B 0.000 0.000 0.000
Pt 0.235 0.235 0.715
Pt 0.235 0.715 0.235
Pt 0.285 0.765 0.765
Pt 0.715 0.235 0.235
Pt 0.765 0.285 0.765
Pt 0.765 0.765 0.285

=====

# 7
! PBE YIn, relaxed; values from VASP
! symmetry = Fm-3m, No. 225
! ΔH_f (0 K) = -0.112 eV/atom
! crystal system = cubic
&SYSTEM
  ibrav = 0, nat = 8, ntyp = 2
/
ATOMIC_SPECIES
Y 88.91 Y.upf
In 114.82 In.upf
CELL_PARAMETERS angstrom
6.253 0.000 0.000
0.000 6.253 0.000
0.000 0.000 6.253
ATOMIC_POSITIONS crystal
Y 0.000 0.000 0.000
Y 0.000 0.500 0.500
Y 0.500 0.000 0.500
Y 0.500 0.500 0.000
In 0.000 0.000 0.500
In 0.000 0.500 0.000
In 0.500 0.000 0.000
In 0.500 0.500 0.500

=====

Density: 5.20, 4.13, 5.05, 2.76, 6.27, 12.78, 5.54 (g/cm³)
Fermi-level density of states: 3.09, 0.62, 1.16, 2.20, 5.25, 2.75, 3.80 (states/eV/f.u.)